Record 1
Density functional theory data (PBE) for a relaxed Ho2Si6Pt21 crystal.

```
Ho2Si6Pt21
1.0
7.5345 0.0000 4.3500
2.5115 7.1036 4.3500
0.0000 0.0000 8.7001
Pt Si Ho
21 6 2
Direct
0.0000 0.0000 0.6549
0.8495 0.3835 0.3835
0.0000 0.6549 0.0000
0.3835 0.8495 0.3835
0.0000 0.0000 0.0000
0.6549 0.3451 0.0000
0.0000 0.6549 0.3451
0.3451 0.0000 0.0000
0.0000 0.3451 0.6549
0.6549 0.0000 0.3451
0.6165 0.1505 0.6165
0.6549 0.0000 0.0000
0.3835 0.3835 0.8495
0.0000 0.0000 0.3451
0.3835 0.3835 0.3835
0.1505 0.6165 0.6165
0.3451 0.6549 0.0000
0.0000 0.3451 0.0000
0.3451 0.0000 0.6549
0.6165 0.6165 0.6165
0.6165 0.6165 0.1505
0.7337 0.2663 0.2663
0.7337 0.2663 0.7337
0.2663 0.7337 0.7337
0.2663 0.7337 0.2663
0.2663 0.2663 0.7337
0.7337 0.7337 0.2663
0.2500 0.2500 0.2500
0.7500 0.7500 0.7500
```

Results
Uncorrected formation energy (eV/atom): -0.68
Space group: No. 225



Record 2
Density functional theory data (PBE) for a relaxed Ba2PrBiO5 crystal.

```
Ba2PrBiO5
1.0
3.7965 0.0000 0.0000
-1.8983 7.5109 0.0000
0.0000 0.0000 12.4166
Bi O Pr Ba
2 10 2 4
Direct
0.5225 0.0450 0.9677
0.4775 0.9550 0.4677
0.4862 0.9724 0.7901
0.2715 0.5431 0.6334
0.2929 0.5858 0.3825
0.6144 0.2287 0.5322
0.7285 0.4569 0.1334
0.7071 0.4142 0.8825
0.9323 0.8647 0.5556
0.0677 0.1353 0.0556
0.5138 0.0276 0.2901
0.3856 0.7713 0.0322
0.2305 0.4610 0.0023
0.7695 0.5390 0.5023
0.8588 0.7177 0.7617
0.1057 0.2114 0.6984
0.1412 0.2823 0.2617
0.8943 0.7886 0.1984
```

Results
Uncorrected formation energy (eV/atom): -2.34
Space group: No. 36



Record 3
Density functional theory data (PBE) for a relaxed H2Pd3 crystal.

```
H2Pd3
1.0
4.9929 0.0000 0.0000
2.4965 4.3240 0.0000
2.4965 1.4413 4.7521
Pd H
6 4
Direct
0.7500 0.4188 0.7500
0.4188 0.0812 0.7500
0.0812 0.7500 0.7500
0.9188 0.2500 0.2500
0.5812 0.9188 0.2500
0.2500 0.5812 0.2500
0.8565 0.8565 0.4306
0.6435 0.6435 0.0694
0.1435 0.1435 0.5694
0.3565 0.3565 0.9306
```

Results
Space group: No. 167
Energy relative to the lowest polymorph listed for this composition (eV per atom): 0.0000



Record 4
Density functional theory data (PBE) for a relaxed AlCuHg crystal.

```
AlCuHg
1.0
4.2831 0.0000 0.0000
-2.1416 3.7093 0.0000
0.0000 0.0000 3.3599
Hg Al Cu
1 1 1
Direct
0.3333 0.6667 0.6550
0.0000 0.0000 0.1103
0.6667 0.3333 0.2347
```

Results
Space group: No. 156
ΔH_f (0 K) (eV per atom): 0.192
Energy relative to the lowest polymorph listed for this composition (eV per atom): 0.0895



no.,energy (eV/atom),magnetization (μB per atom)
1,-6.488,0.000
2,-6.488,0.000
3,-4.538,0.000
4,-2.521,0.000